# 1
# SrGa2Si2 (GGA-PBE, relaxed)
data_SrGa2Si2
_chemical_formula_sum 'Sr2 Ga4 Si4'
_cell_length_a 7.811
_cell_length_b 7.811
_cell_length_c 3.376
_cell_angle_alpha 90.00
_cell_angle_beta 90.00
_cell_angle_gamma 90.00
_space_group_name_H-M_alt 'P 4/m b m'
_space_group_IT_number 127
_space_group_name_Hall '-P 4 2ab'
loop_
_atom_site_label
_atom_site_type_symbol
_atom_site_fract_x
_atom_site_fract_y
_atom_site_fract_z
_atom_site_occupancy
Sr1 Sr 0.000 0.000 0.000 1
Ga1 Ga 0.124 0.376 0.000 1
Si1 Si 0.157 0.657 0.500 1
# - Total energy: -3.68 eV per atom
# - Crystal system: tetragonal
# - Raw formation energy: 3.3 kJ per mole of atoms
# - Density of states at the Fermi level: 0.36 states/eV/atom
# - Theoretical density: 4567 kg/m3
# - Magnetic moment: 0.000 μB per cell
# - Volume: 206 Å³/cell


# 2
# Sr3Ga2Si3 (GGA-PBE, relaxed)
data_Sr3Ga2Si3
_chemical_formula_sum 'Sr12 Ga8 Si12'
_cell_length_a 4.297
_cell_length_b 11.790
_cell_length_c 15.997
_cell_angle_alpha 90.00
_cell_angle_beta 90.00
_cell_angle_gamma 90.00
_space_group_name_H-M_alt 'C m c m'
_space_group_IT_number 63
_space_group_name_Hall '-C 2c 2'
loop_
_atom_site_label
_atom_site_type_symbol
_atom_site_fract_x
_atom_site_fract_y
_atom_site_fract_z
_atom_site_occupancy
Sr1 Sr 0.000 0.031 0.250 1
Sr2 Sr 0.000 0.341 0.094 1
Ga1 Ga 0.000 0.370 0.618 1
Si1 Si 0.000 0.070 0.052 1
Si2 Si 0.000 0.251 0.750 1
# - Total energy: -3.81 eV per atom
# - Crystal system: orthorhombic
# - Raw formation energy: -37.5 kJ per mole of atoms
# - Density of states at the Fermi level: 0.43 states/eV/atom
# - Theoretical density: 3987 kg/m3
# - Magnetic moment: 0.000 μB per cell
# - Volume: 811 Å³/cell


# 3
# Sr2GaSi3 (GGA-PBE, relaxed)
data_Sr2GaSi3
_chemical_formula_sum 'Sr16 Ga8 Si24'
_cell_length_a 8.367
_cell_length_b 9.380
_cell_length_c 14.340
_cell_angle_alpha 90.00
_cell_angle_beta 90.00
_cell_angle_gamma 90.00
_space_group_name_H-M_alt 'F m m m'
_space_group_IT_number 69
_space_group_name_Hall '-F 2 2'
loop_
_atom_site_label
_atom_site_type_symbol
_atom_site_fract_x
_atom_site_fract_y
_atom_site_fract_z
_atom_site_occupancy
Sr1 Sr 0.000 0.247 0.000 1
Sr2 Sr 0.250 0.250 0.250 1
Ga1 Ga 0.000 0.000 0.334 1
Si1 Si 0.000 0.000 0.164 1
Si2 Si 0.247 0.000 0.083 1
# - Total energy: -4.17 eV per atom
# - E above lowest polymorph: 5 meV per atom
# - Crystal system: orthorhombic
# - Raw formation energy: -37.7 kJ per mole of atoms
# - Density of states at the Fermi level: 0.46 states/eV/atom
# - Theoretical density: 3886 kg/m3
# - Magnetic moment: 0.000 μB per cell
# - Volume: 1125 Å³/cell


# 4
# Sr3Ga3Si (GGA-PBE, relaxed)
data_Sr3Ga3Si
_chemical_formula_sum 'Sr12 Ga12 Si4'
_cell_length_a 12.139
_cell_length_b 4.388
_cell_length_c 15.431
_cell_angle_alpha 90.00
_cell_angle_beta 109.27
_cell_angle_gamma 90.00
_space_group_name_H-M_alt 'C 1 2/m 1'
_space_group_IT_number 12
loop_
_space_group_symop_operation_xyz
'x,y,z'
'-x,-y,-z'
'-x,y,-z'
'x,-y,z'
'x+1/2,y+1/2,z'
'-x+1/2,-y+1/2,-z'
'-x+1/2,y+1/2,-z'
'x+1/2,-y+1/2,z'
loop_
_atom_site_label
_atom_site_type_symbol
_atom_site_fract_x
_atom_site_fract_y
_atom_site_fract_z
_atom_site_occupancy
Sr1 Sr 0.016 0.000 0.389 1
Sr2 Sr 0.111 0.000 0.923 1
Sr3 Sr 0.240 0.000 0.235 1
Ga1 Ga 0.031 0.500 0.234 1
Ga2 Ga 0.099 0.500 0.078 1
Ga3 Ga 0.173 0.500 0.540 1
Si1 Si 0.216 0.500 0.384 1
# - Total energy: -3.20 eV per atom
# - Crystal system: monoclinic
# - Raw formation energy: -39.2 kJ per mole of atoms
# - Density of states at the Fermi level: 0.59 states/eV/atom
# - Theoretical density: 4281 kg/m3
# - Magnetic moment: 0.000 μB per cell
# - Volume: 776 Å³/cell